Record 1
Here is a geometry-optimized MgNi structure from the Alexandria database. Energies are from PBE.

Results
Its formation energy is -0.12 eV/f.u. The density of states at the Fermi level is 2.513 states/eV/cell. The total magnetization comes out at 0.000 μB per formula unit.

Cell: 4.8426 4.8426 4.8426 Å, 134.37 134.37 66.51°
With the nearest neighbours (Å) after each atom.
Fractional coordinates of all 4 atoms:
1 Mg 0.3750 0.6250 0.7500  8 Ni 2.66-2.76, 4 Mg 2.76
2 Mg 0.6250 0.3750 0.2500  8 Ni 2.66-2.76, 4 Mg 2.76
3 Ni 0.1250 0.8750 0.2500  8 Mg 2.66-2.76, 4 Ni 2.76
4 Ni 0.8750 0.1250 0.7500  8 Mg 2.66-2.76, 4 Ni 2.76

Record 2
Here is a geometry-optimized Li2Er2Ag3 structure from the Alexandria database. Energies are from PBE.

Results
Its formation energy is -1.43 eV/f.u. The density of states at the Fermi level is 2.736 states/eV/cell. The total magnetization comes out at 0.000 μB per formula unit.

Cell: 11.9470 11.9470 3.4597 Å, 90.00 90.00 162.70°
With the nearest neighbours (Å) after each atom.
Fractional coordinates of all 7 atoms:
1 Li 0.2096 0.7904 0.0000  2 Li 2.62, 4 Ag 2.79
2 Li 0.7904 0.2096 0.0000  2 Li 2.62, 4 Ag 2.79
3 Er 0.0783 0.9217 0.0000  1 Li 3.10, 8 Ag 3.10-3.11, 2 Er 3.46
4 Er 0.9217 0.0783 0.0000  1 Li 3.10, 8 Ag 3.10-3.11, 2 Er 3.46
5 Ag 0.3432 0.6568 0.5000  4 Li 2.79, 4 Er 3.11
6 Ag 0.5000 0.5000 0.5000  8 Er 3.10, 2 Ag 3.46
7 Ag 0.6568 0.3432 0.5000  4 Li 2.79, 4 Er 3.11

Record 3
Here is a geometry-optimized Rb2RuBr6O structure from the Alexandria database. Energies are from PBE.

Results
The density of states at the Fermi level is 6.499 states/eV/cell. The formation energy without anion corrections comes out at -621 meV per atom. The total magnetization comes out at 2.817 μB per formula unit.

Cell: 7.4302 7.4302 7.4302 Å, 112.99 112.99 102.64°
With the nearest neighbours (Å) after each atom.
Fractional coordinates of all 10 atoms:
1 Rb 0.2500 0.7500 0.5000  12 Br 3.73-4.11
2 Rb 0.7500 0.2500 0.5000  12 Br 3.73-4.11
3 Ru 0.0000 0.0000 0.0000  6 Br 2.52-2.56
4 Br 0.2174 0.2174 0.4349  1 Ru 2.52
5 Br 0.2174 0.7826 0.0000  1 Ru 2.52
6 Br 0.2752 0.2752 0.0000  1 O 2.09
7 Br 0.7248 0.7248 0.0000  1 O 2.09
8 Br 0.7826 0.2174 0.0000  1 Ru 2.52
9 Br 0.7826 0.7826 0.5651  1 Ru 2.52
10 O 0.5000 0.5000 0.0000  2 Br 2.09

Record 4
Here is a geometry-optimized KCoSb2 structure from the Alexandria database. Energies are from PBE.

Results
The density of states at the Fermi level is 4.760 states/eV/cell. The formation energy without anion corrections comes out at 126 meV per atom. For the energy relative to the lowest polymorph listed for this composition, the calculation gives 302 meV/atom. The total magnetization comes out at 0.113 μB per formula unit.

Cell: 3.5962 3.5962 8.2629 Å, 90.00 90.00 90.00°
With the nearest neighbours (Å) after each atom.
Fractional coordinates of all 4 atoms:
1 K 0.0000 0.0000 0.0000  5 Sb 3.42-3.58, 4 K 3.60
2 Co 0.5000 0.5000 0.6122  5 Sb 2.53-2.55
3 Sb 0.0000 0.0000 0.5856  4 Co 2.55
4 Sb 0.5000 0.5000 0.3056  1 Co 2.53

Record 5
Here is a geometry-optimized Pr7Nd3Tl2 structure from the Alexandria database. Energies are from PBE.

Results
Its formation energy is -0.30 eV/f.u. The density of states at the Fermi level is 16.719 states/eV/cell. The total magnetization comes out at 0.000 μB per formula unit.

Cell: 5.8686 3.7154 19.0366 Å, 90.00 93.75 90.00°
With the nearest neighbours (Å) after each atom.
Fractional coordinates of all 12 atoms:
1 Pr 0.0000 0.0000 0.0000  4 Nd 3.47, 8 Pr 3.60-3.81
2 Pr 0.1791 0.5000 0.1692  8 Pr 3.48-3.81, 2 Tl 3.81-3.82, 1 Nd 3.84
3 Pr 0.2580 0.5000 0.5346  1 Tl 3.19, 2 Pr 3.21-3.22
4 Pr 0.3246 0.0000 0.8462  2 Tl 3.30, 5 Pr 3.48-3.60, 2 Nd 3.56
5 Pr 0.6754 0.0000 0.1538  2 Tl 3.30, 5 Pr 3.48-3.60, 2 Nd 3.56
6 Pr 0.7420 0.5000 0.4654  1 Tl 3.19, 2 Pr 3.21-3.22
7 Pr 0.8209 0.5000 0.8308  8 Pr 3.48-3.81, 2 Tl 3.81-3.82, 1 Nd 3.84
8 Nd 0.2207 0.0000 0.3578  4 Tl 3.65-3.66, 2 Nd 3.72, 8 Pr 3.84-4.04
9 Nd 0.5000 0.5000 0.0000  10 Pr 3.47-3.84, 2 Nd 3.72
10 Nd 0.7793 0.0000 0.6422  4 Tl 3.65-3.66, 2 Nd 3.72, 8 Pr 3.84-4.04
11 Tl 0.2929 0.5000 0.7024  3 Pr 3.19-3.30
12 Tl 0.7071 0.5000 0.2976  3 Pr 3.19-3.30

Record 6
Here is a geometry-optimized PuZn2O5 structure from the Alexandria database. Energies are from PBE.

Results
The density of states at the Fermi level is 4.421 states/eV/cell. The formation energy without anion corrections comes out at -1926 meV per atom. The total magnetization comes out at 2.000 μB per formula unit.

Cell: 5.8763 5.8763 8.2280 Å, 106.26 106.26 50.26°
With the nearest neighbours (Å) after each atom.
Fractional coordinates of all 16 atoms:
1 Pu 0.0000 0.0000 0.0000  2 O 1.88
2 Pu 0.0000 0.0000 0.5000  2 O 1.88
3 Zn 0.3256 0.3612 0.7141  4 O 1.96-2.07
4 Zn 0.3612 0.3256 0.2141  4 O 1.96-2.07
5 Zn 0.6388 0.6744 0.7859  4 O 1.96-2.07
6 Zn 0.6744 0.6388 0.2859  4 O 1.96-2.07
7 O 0.0288 0.6259 0.3542  2 Zn 1.96-1.99, 1 Pu 2.11
8 O 0.1745 0.6148 0.0386  1 Pu 1.88, 1 Zn 2.07
9 O 0.2349 0.7651 0.7500  2 Zn 2.02
10 O 0.3741 0.9712 0.1458  2 Zn 1.96-1.99, 1 Pu 2.11
11 O 0.3852 0.8255 0.4614  1 Pu 1.88, 1 Zn 2.07
12 O 0.6148 0.1745 0.5386  1 Pu 1.88, 1 Zn 2.07
13 O 0.6259 0.0288 0.8542  2 Zn 1.96-1.99, 1 Pu 2.11
14 O 0.7651 0.2349 0.2500  2 Zn 2.02
15 O 0.8255 0.3852 0.9614  1 Pu 1.88, 1 Zn 2.07
16 O 0.9712 0.3741 0.6458  2 Zn 1.96-1.99, 1 Pu 2.11